The following is a PBE-GGA calculation of a relaxed CeNd2I6 crystal, from the Alexandria database.

Properties
- raw formation energy (eV per formula unit) = -11.45
- size of the total moment (μB per formula unit) = 1.2
- DFT total energy (eV/atom) = -4.0246

Structure (CIF):
```
data_CeNd2I6
_chemical_formula_sum 'Ce2 Nd4 I12'
_symmetry_space_group_name_H-M 'C 1 2/m 1'
_symmetry_Int_Tables_number 12
_cell_length_a 20.4340
_cell_length_b 4.2528
_cell_length_c 9.5718
_cell_angle_alpha 90.00
_cell_angle_beta 111.42
_cell_angle_gamma 90.00
loop_
_symmetry_equiv_pos_as_xyz
'x,y,z'
'-x,-y,-z'
'-x,y,-z'
'x,-y,z'
'x+1/2,y+1/2,z'
'-x+1/2,-y+1/2,-z'
'-x+1/2,y+1/2,-z'
'x+1/2,-y+1/2,z'
loop_
_atom_site_label
_atom_site_fract_x
_atom_site_fract_y
_atom_site_fract_z
Ce1 0.0000 0.0000 0.0000
Nd1 0.1740 0.5000 0.3515
I1 0.0035 0.5000 0.2532
I2 0.1633 0.0000 0.5891
I3 0.1670 0.0000 0.0938
```